Entry 1:
Pr4Ge2N: optimized geometry, PBE-GGA.

Cell and atoms, written as POSCAR:
```
Pr4Ge2N
1.0
-4.3489 -1.8488 -0.3952
0.8272 -0.9694 -4.5676
3.7365 -15.1781 1.4365
Pr Ge N
4 2 1
Direct
0.5943 0.5943 0.8114
0.0000 0.5000 0.0000
0.5000 0.0000 0.0000
0.4057 0.4057 0.1886
0.0752 0.0752 0.8495
0.9248 0.9248 0.1505
0.0000 0.0000 0.0000
```

Summary:
ρ: 3.5 g/cm3
Polymorph energy (0 for the lowest one): 614 meV/atom
V: 49.26 Å³ per atom
Formation energy (no corrections): -0.213 eV/atom
N(E_F): 0.75 states/eV/atom

---

Entry 2:
Pr3GeN4: optimized geometry, PBE-GGA.

Cell and atoms, written as POSCAR:
```
Pr3GeN4
1.0
5.5479 0.0000 0.0000
0.0000 6.8673 0.0000
0.0000 0.0000 7.7074
Pr N Ge
6 8 2
Direct
0.5314 0.3359 0.7496
0.0314 0.6641 0.7504
0.0300 0.1488 0.5000
0.5314 0.3359 0.2504
0.0314 0.6641 0.2496
0.5300 0.8512 0.0000
0.5814 0.1094 0.5000
0.0885 0.3043 0.2112
0.5885 0.6957 0.7112
0.0885 0.3043 0.7888
0.6600 0.1719 0.0000
0.5885 0.6957 0.2888
0.0814 0.8906 0.0000
0.1600 0.8281 0.5000
0.0040 0.1691 0.0000
0.5040 0.8309 0.5000
```

Summary:
ρ: 6.2 g/cm3
V: 18.35 Å³ per atom
Formation energy (no corrections): -0.829 eV/atom
N(E_F): 0.25 states/eV/atom

---

Entry 3:
PrGeRhN: optimized geometry, PBE-GGA.

Cell and atoms, written as POSCAR:
```
PrGeRhN
1.0
4.0153 0.0000 0.0000
0.0000 4.0153 0.0000
0.0000 0.0000 8.6051
Pr N Ge Rh
2 2 2 2
Direct
0.0000 0.5000 0.8469
0.5000 0.0000 0.1531
0.0000 0.5000 0.1206
0.5000 0.0000 0.8794
0.0000 0.5000 0.3413
0.5000 0.0000 0.6587
0.0000 0.0000 0.5000
0.5000 0.5000 0.5000
```

Summary:
ρ: 7.9 g/cm3
V: 17.34 Å³ per atom
Formation energy (no corrections): -0.900 eV/atom
N(E_F): 0.38 states/eV/atom

---

Entry 4:
Pr2Ge2Ru2N: optimized geometry, PBE-GGA.

Cell and atoms, written as POSCAR:
```
Pr2Ge2Ru2N
1.0
4.0991 0.0000 0.0000
2.0495 5.6605 -0.3923
2.0495 1.7324 5.5987
Ru Pr Ge N
2 2 2 1
Direct
0.8057 0.3069 0.0817
0.1943 0.6931 0.9183
0.5595 0.1735 0.7075
0.4405 0.8265 0.2925
0.8351 0.6266 0.7033
0.1649 0.3734 0.2967
0.0000 0.0000 0.0000
```

Summary:
ρ: 8.0 g/cm3
V: 18.96 Å³ per atom
Formation energy (no corrections): -0.741 eV/atom
N(E_F): 0.48 states/eV/atom

---

Entry 5:
Pr2GeRuN: optimized geometry, PBE-GGA.

Cell and atoms, written as POSCAR:
```
Pr2GeRuN
1.0
4.0242 0.0000 0.0000
0.0000 4.0242 0.0000
0.0000 0.0000 12.6003
Pr N Ge Ru
4 2 2 2
Direct
0.0000 0.5000 0.7065
0.0000 0.5000 0.0921
0.5000 0.0000 0.2935
0.5000 0.0000 0.9079
0.0000 0.5000 0.9057
0.5000 0.0000 0.0943
0.5000 0.0000 0.6169
0.0000 0.5000 0.3831
0.0000 0.0000 0.5000
0.5000 0.5000 0.5000
```

Summary:
ρ: 7.6 g/cm3
V: 20.40 Å³ per atom
Formation energy (no corrections): -0.782 eV/atom
N(E_F): 0.78 states/eV/atom

---

Entry 6:
Pr4SnGeN: optimized geometry, PBE-GGA.

Cell and atoms, written as POSCAR:
```
Pr4SnGeN
1.0
-2.6991 1.0331 -6.3063
6.1591 -1.4306 -2.8705
-0.6824 -8.4138 2.7291
Pr N Sn Ge
8 2 2 2
Direct
0.4125 0.7500 0.8250
0.0000 0.0000 0.5000
0.0801 0.7500 0.1602
0.5875 0.2500 0.1750
0.0000 0.5000 0.5000
0.5000 0.0000 0.5000
0.5000 0.5000 0.5000
0.9199 0.2500 0.8398
0.2431 0.7500 0.4862
0.7569 0.2500 0.5138
0.3924 0.2500 0.7849
0.6076 0.7500 0.2151
0.8854 0.7500 0.7708
0.1146 0.2500 0.2292
```

Summary:
ρ: 6.5 g/cm3
V: 28.10 Å³ per atom
Formation energy (no corrections): -0.819 eV/atom
N(E_F): 0.58 states/eV/atom